(1)
VASP calculation (PBE) on a relaxed Rb2BSe crystal.

Computed properties:
Polymorph energy (0 for the lowest one) in meV/atom: 0

Cell lengths 5.7100, 5.7100, 5.7100 Å; angles 60.00, 60.00, 60.00 degrees
Element x y z (fractional)
Rb 0.2500 0.2500 0.2500
Rb 0.7500 0.7500 0.7500
B 0.0000 0.0000 0.0000
Se 0.5000 0.5000 0.5000

---

(2)
VASP calculation (PBE) on a relaxed TmZr2Ti crystal.

Computed properties:
Polymorph energy (0 for the lowest one) in meV/atom: 33
Energy of formation from the pure elements in eV/atom: 0.150

Cell lengths 4.5098, 4.5098, 4.5219 Å; angles 90.00, 90.00, 90.00 degrees
Element x y z (fractional)
Tm 0.0000 0.0000 0.0000
Zr 0.0000 0.5000 0.5000
Zr 0.5000 0.0000 0.5000
Ti 0.5000 0.5000 0.0000

---

(3)
VASP calculation (PBE) on a relaxed AlSbPt2 crystal.

Computed properties:
Polymorph energy (0 for the lowest one) in meV/atom: 162

Cell lengths 8.6184, 8.6184, 8.6184 Å; angles 20.81, 20.81, 20.81 degrees
Element x y z (fractional)
Al 0.0000 0.0000 0.0000
Sb 0.5000 0.5000 0.5000
Pt 0.2595 0.2595 0.2595
Pt 0.7405 0.7405 0.7405

---

(4)
VASP calculation (PBE) on a relaxed ZnGaNiPd crystal.

Computed properties:
Polymorph energy (0 for the lowest one) in meV/atom: 0
Energy of formation from the pure elements in eV/atom: -0.436

Cell lengths 3.0428, 3.0428, 5.8427 Å; angles 90.00, 90.00, 90.00 degrees
Element x y z (fractional)
Zn 0.0000 0.0000 0.0000
Ga 0.0000 0.0000 0.4597
Ni 0.5000 0.5000 0.2387
Pd 0.5000 0.5000 0.7263

---

(5)
VASP calculation (PBE) on a relaxed Sm2PaP crystal.

Computed properties:
Energy of formation from the pure elements in eV/atom: -0.185

Cell lengths 10.4941, 10.4941, 10.4941 Å; angles 19.84, 19.84, 19.84 degrees
Element x y z (fractional)
Sm 0.1099 0.1099 0.1099
Sm 0.8901 0.8901 0.8901
Pa 0.0000 0.0000 0.0000
P 0.5000 0.5000 0.5000

---

(6)
VASP calculation (PBE) on a relaxed Tl2Hg2Se2S crystal.

Computed properties:
Electronic total energy in eV per cell: -17.97

Cell lengths 4.3677, 7.6188, 7.6727 Å; angles 61.73, 73.66, 74.52 degrees
Element x y z (fractional)
Tl 0.0435 0.2374 0.1972
Tl 0.9565 0.7626 0.8028
Hg 0.2962 0.2850 0.6204
Hg 0.7038 0.7150 0.3796
Se 0.3181 0.6409 0.2155
Se 0.6819 0.3591 0.7845
S 0.5000 0.0000 0.5000

---

(7)
VASP calculation (PBE) on a relaxed LiSi6O12 crystal.

Computed properties:
Polymorph energy (0 for the lowest one) in meV/atom: 110

Cell lengths 5.0323, 7.6407, 7.6506 Å; angles 74.24, 71.28, 71.42 degrees
Element x y z (fractional)
Li 0.0000 0.0000 0.0000
Si 0.0009 0.2560 0.7422
Si 0.0684 0.1814 0.1787
Si 0.4114 0.3422 0.3403
Si 0.5886 0.6578 0.6597
Si 0.9316 0.8186 0.8213
Si 0.9991 0.7440 0.2578
O 0.0754 0.9505 0.2334
O 0.0768 0.2337 0.9481
O 0.2356 0.6986 0.7023
O 0.2801 0.5685 0.2774
O 0.2823 0.2748 0.5662
O 0.3432 0.2210 0.2171
O 0.6568 0.7790 0.7829
O 0.7177 0.7252 0.4338
O 0.7199 0.4315 0.7226
O 0.7644 0.3014 0.2977
O 0.9232 0.7663 0.0519
O 0.9246 0.0495 0.7666

---

(8)
VASP calculation (PBE) on a relaxed CaSiP2 crystal.

Computed properties:
Electronic total energy in eV per cell: -335.22

Cell lengths 7.2029, 7.2029, 26.3302 Å; angles 90.00, 90.00, 90.00 degrees
Element x y z (fractional)
Ca 0.1234 0.1552 0.0694
Ca 0.1290 0.3429 0.6858
Ca 0.1552 0.1234 0.9306
Ca 0.1571 0.6290 0.9358
Ca 0.3429 0.1290 0.3142
Ca 0.3448 0.6234 0.3194
Ca 0.3710 0.8429 0.5642
Ca 0.3766 0.6552 0.1806
Ca 0.6234 0.3448 0.6806
Ca 0.6290 0.1571 0.0642
Ca 0.6552 0.3766 0.8194
Ca 0.6571 0.8710 0.8142
Ca 0.8429 0.3710 0.4358
Ca 0.8448 0.8766 0.4306
Ca 0.8710 0.6571 0.1858
Ca 0.8766 0.8448 0.5694
Si 0.1147 0.6264 0.7941
Si 0.1160 0.1240 0.8001
Si 0.1240 0.1160 0.1999
Si 0.1264 0.3853 0.5441
Si 0.3736 0.8853 0.7059
Si 0.3760 0.6160 0.0501
Si 0.3840 0.6240 0.4499
Si 0.3853 0.1264 0.4559
Si 0.6147 0.8736 0.9559
Si 0.6160 0.3760 0.9499
Si 0.6240 0.3840 0.5501
Si 0.6264 0.1147 0.2059
Si 0.8736 0.6147 0.0441
Si 0.8760 0.8840 0.6999
Si 0.8840 0.8760 0.3001
Si 0.8853 0.3736 0.2941
P 0.0640 0.8679 0.8482
P 0.0688 0.3824 0.8475
P 0.1112 0.6331 0.4912
P 0.1152 0.1152 0.5000
P 0.1176 0.5688 0.0975
P 0.1321 0.9360 0.6518
P 0.1331 0.3888 0.2412
P 0.1354 0.8646 0.2500
P 0.3646 0.3646 0.0000
P 0.3669 0.8888 0.0088
P 0.3679 0.4360 0.5982
P 0.3824 0.0688 0.1525
P 0.3848 0.6152 0.7500
P 0.3888 0.1331 0.7588
P 0.4312 0.8824 0.4025
P 0.4360 0.3679 0.4018
P 0.5640 0.6321 0.9018
P 0.5688 0.1176 0.9025
P 0.6112 0.8669 0.2588
P 0.6152 0.3848 0.2500
P 0.6176 0.9312 0.6525
P 0.6321 0.5640 0.0982
P 0.6331 0.1112 0.5088
P 0.6354 0.6354 0.5000
P 0.8646 0.1354 0.7500
P 0.8669 0.6112 0.7412
P 0.8679 0.0640 0.1518
P 0.8824 0.4312 0.5975
P 0.8848 0.8848 0.0000
P 0.8888 0.3669 0.9912
P 0.9312 0.6176 0.3475
P 0.9360 0.1321 0.3482

---

(9)
VASP calculation (PBE) on a relaxed Cs2KIn2 crystal.

Computed properties:
Polymorph energy (0 for the lowest one) in meV/atom: 43
Energy of formation from the pure elements in eV/atom: 0.031

Cell lengths 9.2938, 9.2938, 6.4750 Å; angles 90.00, 90.00, 90.00 degrees
Element x y z (fractional)
Cs 0.1780 0.3220 0.0000
Cs 0.3220 0.8220 0.0000
Cs 0.6780 0.1780 0.0000
Cs 0.8220 0.6780 0.0000
K 0.0000 0.0000 0.5000
K 0.5000 0.5000 0.5000
In 0.1085 0.6085 0.5000
In 0.3915 0.1085 0.5000
In 0.6085 0.8915 0.5000
In 0.8915 0.3915 0.5000

---

(10)
VASP calculation (PBE) on a relaxed FeTcPd crystal.

Computed properties:
Polymorph energy (0 for the lowest one) in meV/atom: 219
Energy of formation from the pure elements in eV/atom: 0.293

Cell lengths 4.1952, 4.1952, 6.3921 Å; angles 113.07, 113.07, 60.15 degrees
Element x y z (fractional)
Fe 0.0352 0.0352 0.1869
Fe 0.9648 0.9648 0.8131
Tc 0.3493 0.3493 0.1336
Tc 0.6507 0.6507 0.8664
Pd 0.2262 0.2262 0.6327
Pd 0.7738 0.7738 0.3673

---

(11)
VASP calculation (PBE) on a relaxed LaPr6Sm4 crystal.

Computed properties:
Polymorph energy (0 for the lowest one) in meV/atom: 0
Energy of formation from the pure elements in eV/atom: 0.279

Cell lengths 10.1777, 10.1777, 10.1777 Å; angles 141.89, 141.89, 54.99 degrees
Element x y z (fractional)
La 0.0000 0.0000 0.0000
Pr 0.0000 0.5000 0.5000
Pr 0.1874 0.5493 0.0000
Pr 0.4507 0.4507 0.6381
Pr 0.5000 0.0000 0.5000
Pr 0.5493 0.1874 0.0000
Pr 0.8126 0.8126 0.3619
Sm 0.0073 0.0073 0.3784
Sm 0.3710 0.9927 0.0000
Sm 0.6290 0.6290 0.6216
Sm 0.9927 0.3710 0.0000

---

(12)
VASP calculation (PBE) on a relaxed CaAcAlIn crystal.

Computed properties:
Energy of formation from the pure elements in eV/atom: -0.316

Cell lengths 5.5630, 5.5630, 5.5630 Å; angles 60.00, 60.00, 60.00 degrees
Element x y z (fractional)
Ca 0.0000 0.0000 0.0000
Ac 0.5000 0.5000 0.5000
Al 0.7500 0.7500 0.7500
In 0.2500 0.2500 0.2500

---

Listing total moment for the structures above in their given order: 0.250; 0.000; 0.000; 0.000; 0.168; 0.000; 0.000; 0.000; 0.000; 0.323; 0.000; 0.000 μB per atom.